The following is a DFT calculation (GGA-PBE) of a geometry-optimized Dy6HgAs2S3 structure.

abc: 9.0691 9.0691 8.1732
angles: 103.60 103.60 25.56
Closest atoms and distances in Å follow each position.
Sites, in units of the cell vectors:
Dy: 0.0027 0.0027 0.2322  3 S 2.75-2.85, 1 As 2.89, 2 Hg 2.98
Dy: 0.3281 0.3281 0.4156  3 S 2.74-2.87, 2 As 2.87, 1 Hg 2.95
Dy: 0.3321 0.3321 0.9186  3 As 2.86, 3 S 2.86-2.88
Dy: 0.6679 0.6679 0.0814  3 As 2.86, 3 S 2.86-2.88
Dy: 0.6719 0.6719 0.5844  3 S 2.74-2.87, 2 As 2.87, 1 Hg 2.95
Dy: 0.9973 0.9973 0.7678  3 S 2.75-2.85, 1 As 2.89, 2 Hg 2.98
Hg: 0.5000 0.5000 0.5000  6 Dy 2.95-2.98
As: 0.1654 0.1654 0.8315  6 Dy 2.86-2.89
As: 0.8346 0.8346 0.1685  6 Dy 2.86-2.89
S: 0.1688 0.1688 0.3313  6 Dy 2.74-2.87
S: 0.5000 0.5000 0.0000  6 Dy 2.75-2.88
S: 0.8312 0.8312 0.6687  6 Dy 2.74-2.87

- mass density (Mg/m³) = 8.39
- raw total energy (eV for the cell shown) = -68.27
- SG = C2/m
- energy relative to the elements, uncorrected (eV/atom) = -1.556

=====

The following is a DFT calculation (GGA-PBE) of a geometry-optimized Dy6HgAs3Se2 structure.

abc: 9.2285 9.2285 8.3488
angles: 102.42 102.42 25.66
Closest atoms and distances in Å follow each position.
Sites, in units of the cell vectors:
Dy: 0.9996 0.9996 0.2344  3 As 2.83-2.93, 1 Se 2.96, 2 Hg 3.02
Dy: 0.0004 0.0004 0.7656  3 As 2.83-2.93, 1 Se 2.96, 2 Hg 3.02
Dy: 0.3279 0.3279 0.4160  3 As 2.84-2.90, 2 Se 2.97, 1 Hg 3.02
Dy: 0.3352 0.3352 0.9079  3 As 2.88-2.90, 3 Se 2.92-2.95
Dy: 0.6648 0.6648 0.0921  3 As 2.88-2.90, 3 Se 2.92-2.95
Dy: 0.6721 0.6721 0.5840  3 As 2.84-2.90, 2 Se 2.97, 1 Hg 3.02
Hg: 0.5000 0.5000 0.5000  6 Dy 3.02
As: 0.1664 0.1664 0.3350  6 Dy 2.84-2.93
As: 0.5000 0.5000 0.0000  6 Dy 2.83-2.90
As: 0.8336 0.8336 0.6650  6 Dy 2.84-2.93
Se: 0.1687 0.1687 0.8394  6 Dy 2.92-2.97
Se: 0.8313 0.8313 0.1606  6 Dy 2.92-2.97

- mass density (Mg/m³) = 8.62
- raw total energy (eV for the cell shown) = -66.15
- SG = C2/m
- energy relative to the elements, uncorrected (eV/atom) = -1.443

=====

The following is a DFT calculation (GGA-PBE) of a geometry-optimized Dy4HgAsSe2 structure.

abc: 7.2154 4.0719 7.2586
angles: 90.00 108.68 90.00
Closest atoms and distances in Å follow each position.
Sites, in units of the cell vectors:
Dy: 0.2405 0.0000 0.2454  2 As 2.89, 3 Se 2.91-2.97, 1 Hg 2.97
Dy: 0.2414 0.5000 0.7452  3 Se 2.89-2.96, 1 As 2.92, 2 Hg 2.97
Dy: 0.7595 0.0000 0.7546  2 As 2.89, 3 Se 2.91-2.97, 1 Hg 2.97
Dy: 0.7586 0.5000 0.2548  3 Se 2.89-2.96, 1 As 2.92, 2 Hg 2.97
Hg: 0.5000 0.0000 0.0000  6 Dy 2.97
As: 0.0000 0.5000 0.0000  6 Dy 2.89-2.92
Se: 0.0000 0.0000 0.5000  6 Dy 2.89-2.91
Se: 0.5000 0.5000 0.5000  6 Dy 2.96-2.97

- mass density (Mg/m³) = 8.91
- raw total energy (eV for the cell shown) = -41.15
- SG = P2/m
- energy relative to the elements, uncorrected (eV/atom) = -1.352

=====

The following is a DFT calculation (GGA-PBE) of a geometry-optimized Dy8HgTe4As3 structure.

abc: 8.5791 8.5791 8.5791
angles: 59.29 59.29 59.29
Closest atoms and distances in Å follow each position.
Sites, in units of the cell vectors:
Dy: 0.2371 0.7446 0.7446  2 As 2.91, 1 Hg 2.95, 3 Te 3.09-3.13
Dy: 0.2391 0.2391 0.2391  3 As 2.89, 3 Te 3.16
Dy: 0.2554 0.2554 0.7629  2 As 2.91, 1 Hg 2.95, 3 Te 3.09-3.13
Dy: 0.2554 0.7629 0.2554  2 As 2.91, 1 Hg 2.95, 3 Te 3.09-3.13
Dy: 0.7446 0.2371 0.7446  2 As 2.91, 1 Hg 2.95, 3 Te 3.09-3.13
Dy: 0.7446 0.7446 0.2371  2 As 2.91, 1 Hg 2.95, 3 Te 3.09-3.13
Dy: 0.7609 0.7609 0.7609  3 As 2.89, 3 Te 3.16
Dy: 0.7629 0.2554 0.2554  2 As 2.91, 1 Hg 2.95, 3 Te 3.09-3.13
Hg: 0.5000 0.5000 0.5000  6 Dy 2.95
Te: 0.0000 0.0000 0.0000  6 Dy 3.09
Te: 0.0000 0.5000 0.5000  6 Dy 3.13-3.16
Te: 0.5000 0.0000 0.5000  6 Dy 3.13-3.16
Te: 0.5000 0.5000 0.0000  6 Dy 3.13-3.16
As: 0.0000 0.0000 0.5000  6 Dy 2.89-2.91
As: 0.0000 0.5000 0.0000  6 Dy 2.89-2.91
As: 0.5000 0.0000 0.0000  6 Dy 2.89-2.91

- mass density (Mg/m³) = 8.45
- raw total energy (eV for the cell shown) = -84.72
- SG = R-3m
- energy relative to the elements, uncorrected (eV/atom) = -1.318

=====

The following is a DFT calculation (GGA-PBE) of a geometry-optimized DyHo3As4 structure.

abc: 7.1079 7.1079 4.1058
angles: 90.00 90.00 109.47
Closest atoms and distances in Å follow each position.
Sites, in units of the cell vectors:
Dy: 0.0000 0.0000 0.0000  6 As 2.91
Ho: 0.0000 0.5000 0.5000  6 As 2.90
Ho: 0.5000 0.0000 0.5000  6 As 2.90
Ho: 0.5000 0.5000 0.0000  6 As 2.90
As: 0.2504 0.7496 0.0000  5 Ho 2.90, 1 Dy 2.91
As: 0.2508 0.2508 0.5000  4 Ho 2.90, 2 Dy 2.91
As: 0.7492 0.7492 0.5000  4 Ho 2.90, 2 Dy 2.91
As: 0.7496 0.2504 0.0000  5 Ho 2.90, 1 Dy 2.91

- energy above the most stable polymorph in this dataset (meV per atom) = 3.5
- mass density (Mg/m³) = 8.13
- raw total energy (eV for the cell shown) = -49.18
- SG = Cmmm
- energy of formation from the pure elements (meV/atom) = -1531

=====

The following is a DFT calculation (GGA-PBE) of a geometry-optimized Dy2HoAs structure.

abc: 9.6733 9.6733 9.6733
angles: 22.90 22.90 22.90
Closest atoms and distances in Å follow each position.
Sites, in units of the cell vectors:
Dy: 0.2283 0.2283 0.2283  3 As 2.82
Dy: 0.7717 0.7717 0.7717  3 As 2.82
Ho: 0.0000 0.0000 0.0000  6 Dy 3.70, 6 Ho 3.84
As: 0.5000 0.5000 0.5000  6 Dy 2.82

- mass density (Mg/m³) = 7.80
- raw total energy (eV for the cell shown) = -20.75
- SG = R-3m
- energy of formation from the pure elements (meV/atom) = -579